# Pa2SbMo

Pa2SbMo after structural relaxation (PBE, the Alexandria database).

It has space group Fm-3m (No. 225), with a = 7.2111 Å, b = 7.2111 Å, c = 7.2111 Å, α = 90.00°, β = 90.00° and γ = 90.00°. The asymmetric unit holds Pa at (0.2500, 0.2500, 0.2500), Sb at (0.0000, 0.0000, 0.0000) and Mo at (0.0000, 0.0000, 0.5000).

The total energy comes out at -33.3 eV per formula unit. Its size of the total moment is 0.000 μB per atom. The calculation puts the energy above the most stable polymorph in this dataset at 298 meV/atom. The value obtained for the energy relative to the elements, uncorrected is 0.6 eV per formula unit.